# 1
Computed, not measured: a relaxed structure of GaOsF2 at the PBE level of DFT.

CIF file:
```
data_GaOsF2
_cell_length_a 8.363
_cell_length_b 8.363
_cell_length_c 8.363
_cell_angle_alpha 18.41
_cell_angle_beta 18.41
_cell_angle_gamma 18.41
_space_group_name_H-M_alt 'P 1'
_space_group_IT_number 1
loop_
_space_group_symop_operation_xyz
'x,y,z'
loop_
_atom_site_label
_atom_site_fract_x
_atom_site_fract_y
_atom_site_fract_z
Os1 0.500 0.500 0.500
Ga1 0.000 0.000 0.000
F1 0.919 0.919 0.919
F2 0.081 0.081 0.081
```

Computed properties:
Its space group is R-3m. The value obtained for the magnetic moment is 1.05 μB per cell. The value obtained for the energy relative to the lowest polymorph listed for this composition is 46.5 kJ per mole of atoms. The raw formation energy comes out at -0.43 eV/atom.

---

# 2
Computed, not measured: a relaxed structure of La2YTm7 at the PBE level of DFT.

CIF file:
```
data_La2YTm7
_cell_length_a 3.506
_cell_length_b 14.732
_cell_length_c 14.732
_cell_angle_alpha 154.59
_cell_angle_beta 90.00
_cell_angle_gamma 90.00
_space_group_name_H-M_alt 'P 1'
_space_group_IT_number 1
loop_
_space_group_symop_operation_xyz
'x,y,z'
loop_
_atom_site_label
_atom_site_fract_x
_atom_site_fract_y
_atom_site_fract_z
La1 0.500 0.708 0.292
La2 0.500 0.292 0.708
Y1 0.000 0.000 0.000
Tm1 0.000 0.818 0.182
Tm2 0.000 0.182 0.818
Tm3 0.500 0.148 0.342
Tm4 0.500 0.852 0.658
Tm5 0.500 0.342 0.148
Tm6 0.500 0.658 0.852
Tm7 0.500 0.500 0.500
```

Computed properties:
Its space group is Cmmm. The value obtained for the magnetic moment is 0.00 μB per cell. The calculation puts the formation energy at 0.159 eV/atom. The value obtained for the energy relative to the lowest polymorph listed for this composition is 12.0 kJ per mole of atoms.